[1]
Material: SrSbP2
Method: DFT, PBE
State: optimized geometry

Output
electronic total energy: -4.562 eV per atom
V: 27.56 Å³ per atom
crystal system: monoclinic
calculated density: 4.09 g/cm3
formation energy from raw total energies: -0.406 eV/atom
magnetization: 0.000 μB per atom
space group: P2/m, No. 10

```
SrSbP2
1.0
4.1706 0.0000 0.0000
0.0000 4.7538 -0.0274
0.0000 -0.8648 5.5654
P Sb Sr
2 1 1
Direct
0.0000 0.3521 0.9355
0.0000 0.1479 0.5645
0.5000 0.2500 0.2500
0.5000 0.7500 0.7500
```


[2]
Material: SrSbP4
Method: DFT, PBE
State: optimized geometry

Output
electronic total energy: -4.583 eV per atom
V: 23.51 Å³ per atom
crystal system: cubic
calculated density: 3.92 g/cm3
formation energy from raw total energies: -0.009 eV/atom
magnetization: 0.000 μB per atom
space group: F-43m, No. 216

```
SrSbP4
1.0
-2.4944 -2.8677 4.4376
-4.3785 2.4673 2.9797
-5.4366 -2.0694 -0.5468
Sr Sb P
1 1 4
Direct
0.0000 0.0000 0.0000
0.7500 0.7500 0.7500
0.7912 0.4029 0.4029
0.4029 0.4029 0.7912
0.4029 0.7912 0.4029
0.4029 0.4029 0.4029
```


[3]
Material: SrSb2P
Method: DFT, PBE
State: optimized geometry

Output
electronic total energy: -4.040 eV per atom
V: 27.63 Å³ per atom
crystal system: tetragonal
calculated density: 5.44 g/cm3
formation energy from raw total energies: -0.206 eV/atom
magnetization: 0.000 μB per atom
space group: P4mm, No. 99

```
SrSb2P
1.0
3.5492 0.0000 0.0000
0.0000 3.5492 0.0000
0.0000 0.0000 8.7736
Sr Sb P
1 2 1
Direct
0.0000 0.0000 0.5338
0.0000 0.0000 0.9229
0.5000 0.5000 0.2608
0.5000 0.5000 0.7825
```


[4]
Material: SrSbP2
Method: DFT, PBE
State: optimized geometry

Output
electronic total energy: -4.517 eV per atom
V: 26.64 Å³ per atom
crystal system: monoclinic
calculated density: 4.23 g/cm3
formation energy from raw total energies: -0.361 eV/atom
magnetization: 0.000 μB per atom
space group: Cm, No. 8

```
SrSbP2
1.0
-0.4845 5.6842 2.6517
-3.5833 5.1553 0.3992
-2.1949 -2.0407 3.4988
P Sb Sr
2 1 1
Direct
0.9909 0.9909 0.0587
0.7236 0.7236 0.6248
0.5189 0.5189 0.6884
0.2665 0.2665 0.1281
```


[5]
Material: SrSb3P
Method: DFT, PBE
State: optimized geometry

Output
electronic total energy: -2.569 eV per atom
V: 44.36 Å³ per atom
crystal system: cubic
calculated density: 3.62 g/cm3
formation energy from raw total energies: 1.323 eV/atom
energy above the most stable polymorph in this dataset: 1335 meV/atom
magnetization: 0.442 μB per atom
space group: Pm-3m, No. 221

```
SrSb3P
1.0
6.0534 0.0000 0.0000
0.0000 6.0534 0.0000
0.0000 0.0000 6.0534
Sb P Sr
3 1 1
Direct
0.0000 0.5000 0.0000
0.0000 0.0000 0.5000
0.5000 0.0000 0.0000
0.5000 0.5000 0.5000
0.0000 0.0000 0.0000
```


[6]
Material: SrSbP2
Method: DFT, PBE
State: optimized geometry

Output
electronic total energy: -4.455 eV per atom
V: 27.31 Å³ per atom
crystal system: tetragonal
calculated density: 4.12 g/cm3
formation energy from raw total energies: -0.299 eV/atom
magnetization: 0.000 μB per atom
space group: P4mm, No. 99

```
SrSbP2
1.0
4.1214 0.0000 0.0000
0.0000 4.1214 0.0000
0.0000 0.0000 6.4322
P Sb Sr
2 1 1
Direct
0.0000 0.0000 0.9293
0.5000 0.5000 0.3813
0.0000 0.0000 0.3143
0.5000 0.5000 0.8750
```


[7]
Material: Sr3SbP
Method: DFT, PBE
State: optimized geometry

Output
electronic total energy: -3.845 eV per atom
V: 37.82 Å³ per atom
crystal system: cubic
calculated density: 3.65 g/cm3
formation energy from raw total energies: -0.929 eV/atom
energy above the most stable polymorph in this dataset: 89 meV/atom
magnetization: 0.000 μB per atom
space group: Pm-3m, No. 221

```
Sr3SbP
1.0
-5.1765 -0.6734 2.3866
-2.0716 -1.8617 -5.0187
1.3629 -5.3875 1.4360
Sb P Sr
1 1 3
Direct
0.5000 0.5000 0.5000
0.0000 0.0000 0.0000
0.0000 0.5000 0.0000
0.0000 0.0000 0.5000
0.5000 0.0000 0.0000
```


[8]
Material: SrSb2P2
Method: DFT, PBE
State: optimized geometry

Output
electronic total energy: -4.348 eV per atom
V: 27.33 Å³ per atom
crystal system: tetragonal
calculated density: 4.78 g/cm3
formation energy from raw total energies: -0.198 eV/atom
energy above the most stable polymorph in this dataset: 30 meV/atom
magnetization: 0.000 μB per atom
space group: P4/mbm, No. 127

```
SrSb2P2
1.0
8.4670 0.0000 0.0000
0.0000 8.4670 0.0000
0.0000 0.0000 3.8125
Sb P Sr
4 4 2
Direct
0.1697 0.6697 0.5000
0.6697 0.8303 0.5000
0.8303 0.3303 0.5000
0.3303 0.1697 0.5000
0.3159 0.8159 0.0000
0.8159 0.6841 0.0000
0.6841 0.1841 0.0000
0.1841 0.3159 0.0000
0.0000 0.0000 0.0000
0.5000 0.5000 0.0000
```


[9]
Material: SrSb3P
Method: DFT, PBE
State: optimized geometry

Output
electronic total energy: -3.903 eV per atom
V: 30.41 Å³ per atom
crystal system: cubic
calculated density: 5.28 g/cm3
formation energy from raw total energies: -0.012 eV/atom
energy above the most stable polymorph in this dataset: 0 meV/atom
magnetization: 0.000 μB per atom
space group: Pm-3m, No. 221

```
SrSb3P
1.0
-3.9474 -2.3404 -2.7253
3.4637 -3.5532 -1.9656
-0.9524 -3.2224 4.1467
Sb P Sr
3 1 1
Direct
0.0000 0.5000 0.0000
0.0000 0.0000 0.5000
0.5000 0.0000 0.0000
0.0000 0.0000 0.0000
0.5000 0.5000 0.5000
```


[10]
Material: SrSbP
Method: DFT, PBE
State: optimized geometry

Output
electronic total energy: -4.201 eV per atom
V: 33.94 Å³ per atom
crystal system: tetragonal
calculated density: 3.92 g/cm3
formation energy from raw total energies: -0.463 eV/atom
energy above the most stable polymorph in this dataset: 22 meV/atom
magnetization: 0.000 μB per atom
space group: I4mm, No. 107

```
SrSbP
1.0
-4.6569 -4.1605 -1.3079
-6.0615 1.6839 -1.0626
5.9478 1.5030 -1.7526
Sr Sb P
1 1 1
Direct
0.3832 0.3832 0.0000
0.7001 0.7001 0.0000
0.9167 0.9167 0.0000
```


[11]
Material: Sr2SbP
Method: DFT, PBE
State: optimized geometry

Output
electronic total energy: -3.606 eV per atom
V: 37.49 Å³ per atom
crystal system: trigonal
calculated density: 3.63 g/cm3
formation energy from raw total energies: -0.382 eV/atom
energy above the most stable polymorph in this dataset: 479 meV/atom
magnetization: 0.001 μB per atom
space group: R3m, No. 160

```
Sr2SbP
1.0
-5.0532 -6.5761 -0.1134
-0.7122 -8.2190 -0.8560
-2.1272 -7.2071 3.5108
Sr Sb P
2 1 1
Direct
0.9621 0.9621 0.9621
0.7844 0.7844 0.7844
0.2026 0.2026 0.2026
0.5509 0.5509 0.5509
```


[12]
Material: SrSb2P2
Method: DFT, PBE
State: optimized geometry

Output
electronic total energy: -4.322 eV per atom
V: 27.87 Å³ per atom
crystal system: tetragonal
calculated density: 4.68 g/cm3
formation energy from raw total energies: -0.172 eV/atom
energy above the most stable polymorph in this dataset: 57 meV/atom
magnetization: 0.000 μB per atom
space group: I4/mmm, No. 139

```
SrSb2P2
1.0
-2.6380 2.6380 5.0055
2.6380 -2.6380 5.0055
2.6380 2.6380 -5.0055
Sr Sb P
1 2 2
Direct
0.0000 0.0000 0.0000
0.6681 0.6681 0.0000
0.3319 0.3319 0.0000
0.2500 0.7500 0.5000
0.7500 0.2500 0.5000
```